Arrangement one

Entry from Alexandria: crystalline GaMo2H at its relaxed geometry (PBE).

The density of states at the Fermi level is 10.530 states/eV/cell. The calculation puts the calculated volume at 203.90 Å³/cell.

The structure belongs to space group I-42d (No. 122); the cell edges are 5.9507, 5.9507 and 5.7581 Å and the angles 90.00°, 90.00° and 90.00°. Symmetry generates all atoms from Ga at (0.0000, 0.0000, 0.0000), Mo at (0.1476, 0.7500, 0.6250) and H at (0.0000, 0.0000, 0.5000).

Arrangement two

Entry from Alexandria: crystalline GaMo2H at its relaxed geometry (PBE).

The density of states at the Fermi level is 24.221 states/eV/cell. The calculation puts the calculated volume at 211.55 Å³/cell.

The structure belongs to space group Fm-3m (No. 225); the cell edges are 5.9585, 5.9585 and 5.9585 Å and the angles 90.00°, 90.00° and 90.00°. Symmetry generates all atoms from Ga at (0.0000, 0.0000, 0.0000), Mo at (0.2500, 0.2500, 0.2500) and H at (0.0000, 0.0000, 0.5000).

Arrangement three

Entry from Alexandria: crystalline GaMo2H at its relaxed geometry (PBE).

The density of states at the Fermi level is 5.610 states/eV/cell. The calculation puts the calculated volume at 169.28 Å³/cell.

The structure belongs to space group R-3m (No. 166, hexagonal axes); the cell edges are 3.8808, 3.8808 and 12.9789 Å and the angles 90.00°, 90.00° and 120.00°. Symmetry generates all atoms from Ga at (0.0000, 0.0000, 0.0000), Mo at (0.0000, 0.0000, 0.2130) and H at (0.0000, 0.0000, 0.5000).

Most stable = arrangement one

Arrangement one

Entry from Alexandria: crystalline GaMo3H3 at its relaxed geometry (PBE).

The density of states at the Fermi level is 9.290 states/eV/cell. The calculation puts the calculated volume at 143.43 Å³/cell.

The structure belongs to space group P6_3/m (No. 176); the cell edges are 7.3335, 7.3335 and 3.0795 Å and the angles 90.00°, 90.00° and 120.00°. Symmetry generates all atoms from Ga at (0.3333, 0.6667, 0.2500), Mo at (0.0470, 0.6903, 0.7500) and H at (0.0500, 0.8435, 0.2500).

Arrangement two

Entry from Alexandria: crystalline GaMo3H3 at its relaxed geometry (PBE).

The density of states at the Fermi level is 17.521 states/eV/cell. The calculation puts the calculated volume at 468.96 Å³/cell.

The structure belongs to space group R-3 (No. 148, hexagonal axes); the cell edges are 5.2880, 5.2880 and 19.3654 Å and the angles 90.00°, 90.00° and 120.00°. Symmetry generates all atoms from Ga at (0.0000, 0.0000, 0.1673), Mo at (0.0009, 0.6637, 0.7280) and H at (0.0014, 0.6700, 0.2986).

Most stable = arrangement one